# 1
VASP calculation (PBE) on a geometry-optimized PmEr2Hf structure.

POSCAR file:
```
PmEr2Hf
1.0
3.4378 0.0000 0.0000
1.7189 2.9772 0.0000
1.7189 0.9924 11.2347
Er Pm Hf
2 1 1
direct
0.2564 0.2564 0.2307
0.0769 0.0769 0.7692
0.5002 0.5002 0.4993
0.6664 0.6664 0.0008
```

Volume in A^3/atom: 28.75
Theoretical density in g/cm3: 9.5
Excess energy over the best structure of this formula in the dataset in eV/atom: 0.000
Total DFT energy (no corrections) in eV per formula unit: -23.40
ΔE_f in meV per atom: 106.8

***

# 2
VASP calculation (PBE) on a geometry-optimized ZrNbPd structure.

POSCAR file:
```
ZrNbPd
1.0
-1.9654 -1.5844 -1.5750
2.8054 -5.1678 0.9918
-3.6556 -2.7995 4.7438
Zr Nb Pd
2 2 2
direct
0.3272 0.6769 0.8169
0.6728 0.3231 0.1831
0.6159 0.8329 0.1723
0.3841 0.1671 0.8277
0.0000 0.0000 0.5000
0.0000 0.5000 0.5000
```

Volume in A^3/atom: 18.61
Theoretical density in g/cm3: 8.6
Excess energy over the best structure of this formula in the dataset in eV/atom: 0.138
Total DFT energy (no corrections) in eV per formula unit: -24.64
ΔE_f in meV per atom: -276.3

***

Repeat the second record exactly.
VASP calculation (PBE) on a geometry-optimized ZrNbPd structure.

POSCAR file:
```
ZrNbPd
1.0
-1.9654 -1.5844 -1.5750
2.8054 -5.1678 0.9918
-3.6556 -2.7995 4.7438
Zr Nb Pd
2 2 2
direct
0.3272 0.6769 0.8169
0.6728 0.3231 0.1831
0.6159 0.8329 0.1723
0.3841 0.1671 0.8277
0.0000 0.0000 0.5000
0.0000 0.5000 0.5000
```

Volume in A^3/atom: 18.61
Theoretical density in g/cm3: 8.6
Excess energy over the best structure of this formula in the dataset in eV/atom: 0.138
Total DFT energy (no corrections) in eV per formula unit: -24.64
ΔE_f in meV per atom: -276.3

***

> What is the excess energy over the best structure of this formula in the dataset in the first record?

0.000 eV/atom

***

> The highest total DFT energy (no corrections) belongs to which entry?

PmEr2Hf

***

> Look up the excess energy over the best structure of this formula in the dataset of the first one.

0.000 eV/atom